(P)
## Cs2Cu2Ag (PBE)

Data for a relaxed structure of Cs2Cu2Ag.

M_tot = 0.0 μB per cell

Unit cell a=7.460 b=7.460 c=5.557 alpha=90.00 beta=90.00 gamma=90.00
Element x y z (fractional)
Cs (0.185, 0.315, 0.000)
Cs (0.315, 0.815, 0.000)
Cs (0.685, 0.185, 0.000)
Cs (0.815, 0.685, 0.000)
Cu (0.117, 0.617, 0.500)
Cu (0.383, 0.117, 0.500)
Cu (0.617, 0.883, 0.500)
Cu (0.883, 0.383, 0.500)
Ag (0.000, 0.000, 0.500)
Ag (0.500, 0.500, 0.500)



(Q)
## Cs2Cu2Ag (PBE)

Data for a relaxed structure of Cs2Cu2Ag.

M_tot = 0.0 μB per cell

Unit cell a=6.899 b=6.899 c=7.678 alpha=90.00 beta=90.00 gamma=90.00
Element x y z (fractional)
Cs (0.000, 0.500, 0.250)
Cs (0.000, 0.500, 0.750)
Cs (0.500, 0.000, 0.250)
Cs (0.500, 0.000, 0.750)
Cu (0.000, 0.000, 0.156)
Cu (0.000, 0.000, 0.844)
Cu (0.500, 0.500, 0.344)
Cu (0.500, 0.500, 0.656)
Ag (0.000, 0.000, 0.500)
Ag (0.500, 0.500, 0.000)



The least stable of them is (P).



(P)
## Cs2AgF4 (PBE)

Data for a relaxed structure of Cs2AgF4.

M_tot = 2.0 μB per cell

Unit cell a=7.948 b=7.948 c=6.592 alpha=90.00 beta=90.00 gamma=48.97
Element x y z (fractional)
Cs (0.142, 0.142, 0.000)
Cs (0.358, 0.358, 0.500)
Cs (0.642, 0.642, 0.500)
Cs (0.858, 0.858, 0.000)
Ag (0.000, 0.000, 0.500)
Ag (0.500, 0.500, 0.000)
F (0.151, 0.151, 0.500)
F (0.231, 0.769, 0.730)
F (0.269, 0.731, 0.230)
F (0.349, 0.349, 0.000)
F (0.651, 0.651, 0.000)
F (0.731, 0.269, 0.770)
F (0.769, 0.231, 0.270)
F (0.849, 0.849, 0.500)



(Q)
## Cs2AgF4 (PBE)

Data for a relaxed structure of Cs2AgF4.

M_tot = 1.9 μB per cell

Unit cell a=4.570 b=4.570 c=14.694 alpha=90.00 beta=90.00 gamma=90.00
Element x y z (fractional)
Cs (0.000, 0.000, 0.144)
Cs (0.000, 0.000, 0.856)
Cs (0.500, 0.500, 0.356)
Cs (0.500, 0.500, 0.644)
Ag (0.000, 0.000, 0.500)
Ag (0.500, 0.500, 0.000)
F (0.000, 0.000, 0.350)
F (0.000, 0.000, 0.650)
F (0.000, 0.500, 0.000)
F (0.000, 0.500, 0.500)
F (0.500, 0.000, 0.000)
F (0.500, 0.000, 0.500)
F (0.500, 0.500, 0.150)
F (0.500, 0.500, 0.850)



The least stable of them is (Q).



(P)
## CsAg3F3 (PBE)

Data for a relaxed structure of CsAg3F3.

M_tot = 0.0 μB per cell

Unit cell a=8.861 b=8.861 c=4.240 alpha=90.00 beta=90.00 gamma=120.00
Element x y z (fractional)
Cs (0.333, 0.667, 0.250)
Cs (0.667, 0.333, 0.750)
Ag (0.016, 0.208, 0.750)
Ag (0.192, 0.984, 0.750)
Ag (0.208, 0.192, 0.250)
Ag (0.792, 0.808, 0.750)
Ag (0.808, 0.016, 0.250)
Ag (0.984, 0.792, 0.250)
F (0.081, 0.685, 0.750)
F (0.315, 0.396, 0.750)
F (0.396, 0.081, 0.250)
F (0.604, 0.919, 0.750)
F (0.685, 0.604, 0.250)
F (0.919, 0.315, 0.250)



(Q)
## CsAg3F3 (PBE)

Data for a relaxed structure of CsAg3F3.

M_tot = 0.0 μB per cell

Unit cell a=6.852 b=6.852 c=6.852 alpha=90.00 beta=90.00 gamma=90.00
Element x y z (fractional)
Cs (0.000, 0.000, 0.000)
Cs (0.500, 0.500, 0.500)
Ag (0.000, 0.250, 0.500)
Ag (0.000, 0.750, 0.500)
Ag (0.250, 0.500, 0.000)
Ag (0.500, 0.000, 0.250)
Ag (0.500, 0.000, 0.750)
Ag (0.750, 0.500, 0.000)
F (0.000, 0.500, 0.250)
F (0.000, 0.500, 0.750)
F (0.250, 0.000, 0.500)
F (0.500, 0.250, 0.000)
F (0.500, 0.750, 0.000)
F (0.750, 0.000, 0.500)



The least stable of them is (Q).